1.
First-principles (GGA-PBE) data for crystalline Nb3V at its relaxed geometry, as listed in Alexandria via LeMat-Bulk.

Properties
**DOS(E_F)**: 1.96 states/eV per atom
**Energy relative to the lowest polymorph listed for this composition**: 6.1 meV/atom
**Energy**: -39.185 eV per cell
**Size of the total moment**: 0.015 μB/f.u.
**Calculated formation energy**: 0.036 eV/atom

```
data_Nb3V
_cell_length_a 4.595
_cell_length_b 4.595
_cell_length_c 4.595
_cell_angle_alpha 60.00
_cell_angle_beta 60.00
_cell_angle_gamma 60.00
_symmetry_space_group_name_H-M 'P 1'
_symmetry_Int_Tables_number 1
_symmetry_space_group_name_Hall 'P 1'
loop_
_atom_site_label
_atom_site_fract_x
_atom_site_fract_y
_atom_site_fract_z
Nb1 0.000 0.000 0.000
Nb2 0.250 0.250 0.250
Nb3 0.750 0.750 0.750
V1 0.500 0.500 0.500
```

---

2.
First-principles (GGA-PBE) data for crystalline K2InPdSe at its relaxed geometry, as listed in Alexandria via LeMat-Bulk.

Properties
**DOS(E_F)**: 1.01 states/eV per atom
**Energy**: -13.118 eV per cell
**Size of the total moment**: 0.000 μB/f.u.
**E_form (uncorrected)**: 0.0987 eV per atom

```
data_K2InPdSe
_cell_length_a 6.399
_cell_length_b 6.399
_cell_length_c 4.964
_cell_angle_alpha 90.00
_cell_angle_beta 90.00
_cell_angle_gamma 90.00
_symmetry_space_group_name_H-M 'P 1'
_symmetry_Int_Tables_number 1
_symmetry_space_group_name_Hall 'P 1'
loop_
_atom_site_label
_atom_site_fract_x
_atom_site_fract_y
_atom_site_fract_z
K1 0.000 0.500 0.000
K2 0.500 0.000 0.000
In1 0.000 0.000 0.000
Pd1 0.000 0.000 0.500
Se1 0.500 0.500 0.500
```

---

3.
First-principles (GGA-PBE) data for crystalline CsZn2GeOs at its relaxed geometry, as listed in Alexandria via LeMat-Bulk.

Properties
**DOS(E_F)**: 0.36 states/eV per atom
**Energy**: -18.944 eV per cell
**Size of the total moment**: 0.000 μB/f.u.
**Calculated formation energy**: 0.061 eV/atom

```
data_CsZn2GeOs
_cell_length_a 5.096
_cell_length_b 5.096
_cell_length_c 4.778
_cell_angle_alpha 90.00
_cell_angle_beta 90.00
_cell_angle_gamma 90.00
_symmetry_space_group_name_H-M 'P 1'
_symmetry_Int_Tables_number 1
_symmetry_space_group_name_Hall 'P 1'
loop_
_atom_site_label
_atom_site_fract_x
_atom_site_fract_y
_atom_site_fract_z
Cs1 0.000 0.000 0.000
Zn1 0.000 0.500 0.500
Zn2 0.500 0.000 0.500
Ge1 0.500 0.500 0.000
Os1 0.500 0.500 0.500
```

---

4.
First-principles (GGA-PBE) data for crystalline TmMg11Pd at its relaxed geometry, as listed in Alexandria via LeMat-Bulk.

Properties
**DOS(E_F)**: 0.52 states/eV per atom
**Energy**: -28.831 eV per cell
**Size of the total moment**: 0.000 μB/f.u.
**Calculated formation energy**: -0.125 eV/atom

```
data_TmMg11Pd
_cell_length_a 7.730
_cell_length_b 7.730
_cell_length_c 7.626
_cell_angle_alpha 97.31
_cell_angle_beta 97.31
_cell_angle_gamma 137.29
_symmetry_space_group_name_H-M 'P 1'
_symmetry_Int_Tables_number 1
_symmetry_space_group_name_Hall 'P 1'
loop_
_atom_site_label
_atom_site_fract_x
_atom_site_fract_y
_atom_site_fract_z
Tm1 0.000 0.000 0.000
Mg1 0.000 0.000 0.500
Mg2 0.000 0.500 0.000
Mg3 0.020 0.356 0.359
Mg4 0.303 0.506 0.784
Mg5 0.356 0.020 0.359
Mg6 0.494 0.697 0.216
Mg7 0.500 0.000 0.000
Mg8 0.506 0.303 0.784
Mg9 0.644 0.980 0.641
Mg10 0.697 0.494 0.216
Mg11 0.980 0.644 0.641
Pd1 0.500 0.500 0.500
```

---

5.
First-principles (GGA-PBE) data for crystalline Er3Ge3Pd at its relaxed geometry, as listed in Alexandria via LeMat-Bulk.

Properties
**DOS(E_F)**: 0.39 states/eV per atom
**Energy relative to the lowest polymorph listed for this composition**: 0.0 meV/atom
**Energy**: -78.253 eV per cell
**Size of the total moment**: 0.000 μB/f.u.
**Calculated formation energy**: -0.913 eV/atom

```
data_Er3Ge3Pd
_cell_length_a 5.722
_cell_length_b 5.722
_cell_length_c 13.791
_cell_angle_alpha 108.21
_cell_angle_beta 108.21
_cell_angle_gamma 43.80
_symmetry_space_group_name_H-M 'P 1'
_symmetry_Int_Tables_number 1
_symmetry_space_group_name_Hall 'P 1'
loop_
_atom_site_label
_atom_site_fract_x
_atom_site_fract_y
_atom_site_fract_z
Er1 0.028 0.028 0.378
Er2 0.101 0.101 0.922
Er3 0.240 0.240 0.227
Er4 0.760 0.760 0.773
Er5 0.899 0.899 0.078
Er6 0.972 0.972 0.622
Ge1 0.374 0.374 0.451
Ge2 0.376 0.376 0.925
Ge3 0.472 0.472 0.768
Ge4 0.528 0.528 0.232
Ge5 0.624 0.624 0.075
Ge6 0.626 0.626 0.549
Pd1 0.259 0.259 0.600
Pd2 0.741 0.741 0.400
```

---

6.
First-principles (GGA-PBE) data for crystalline RbBC4N4 at its relaxed geometry, as listed in Alexandria via LeMat-Bulk.

Properties
**DOS(E_F)**: 0.00 states/eV per atom
**Energy**: -155.763 eV per cell
**Size of the total moment**: 0.000 μB/f.u.
**E_form (uncorrected)**: -0.0040 eV per atom

```
data_RbBC4N4
_cell_length_a 9.142
_cell_length_b 9.142
_cell_length_c 9.142
_cell_angle_alpha 133.01
_cell_angle_beta 133.01
_cell_angle_gamma 68.65
_symmetry_space_group_name_H-M 'P 1'
_symmetry_Int_Tables_number 1
_symmetry_space_group_name_Hall 'P 1'
loop_
_atom_site_label
_atom_site_fract_x
_atom_site_fract_y
_atom_site_fract_z
Rb1 0.375 0.125 0.250
Rb2 0.625 0.875 0.750
B1 0.125 0.375 0.750
B2 0.875 0.625 0.250
C1 0.084 0.586 0.301
C2 0.086 0.285 0.502
C3 0.215 0.216 0.801
C4 0.284 0.584 0.998
C5 0.716 0.416 0.002
C6 0.785 0.784 0.199
C7 0.914 0.715 0.498
C8 0.916 0.414 0.699
N1 0.054 0.215 0.316
N2 0.239 0.554 0.339
N3 0.285 0.101 0.839
N4 0.399 0.739 0.184
N5 0.601 0.261 0.816
N6 0.715 0.899 0.161
N7 0.761 0.446 0.661
N8 0.946 0.785 0.684
```

---

7.
First-principles (GGA-PBE) data for crystalline CeLuCuIr at its relaxed geometry, as listed in Alexandria via LeMat-Bulk.

Properties
**DOS(E_F)**: 1.12 states/eV per atom
**Energy**: -25.537 eV per cell
**Size of the total moment**: 0.177 μB/f.u.
**Calculated formation energy**: -0.531 eV/atom

```
data_CeLuCuIr
_cell_length_a 4.872
_cell_length_b 4.872
_cell_length_c 4.872
_cell_angle_alpha 60.00
_cell_angle_beta 60.00
_cell_angle_gamma 60.00
_symmetry_space_group_name_H-M 'P 1'
_symmetry_Int_Tables_number 1
_symmetry_space_group_name_Hall 'P 1'
loop_
_atom_site_label
_atom_site_fract_x
_atom_site_fract_y
_atom_site_fract_z
Ce1 0.000 0.000 0.000
Lu1 0.500 0.500 0.500
Cu1 0.750 0.750 0.750
Ir1 0.250 0.250 0.250
```

---

8.
First-principles (GGA-PBE) data for crystalline ReTe2Rh at its relaxed geometry, as listed in Alexandria via LeMat-Bulk.

Properties
**DOS(E_F)**: 0.93 states/eV per atom
**Energy relative to the lowest polymorph listed for this composition**: 288.0 meV/atom
**Energy**: -48.436 eV per cell
**Size of the total moment**: 0.000 μB/f.u.
**E_form (uncorrected)**: 0.4662 eV per atom

```
data_ReTe2Rh
_cell_length_a 7.235
_cell_length_b 7.235
_cell_length_c 7.235
_cell_angle_alpha 131.18
_cell_angle_beta 131.18
_cell_angle_gamma 71.52
_symmetry_space_group_name_H-M 'P 1'
_symmetry_Int_Tables_number 1
_symmetry_space_group_name_Hall 'P 1'
loop_
_atom_site_label
_atom_site_fract_x
_atom_site_fract_y
_atom_site_fract_z
Re1 0.000 0.000 0.000
Re2 0.750 0.250 0.500
Te1 0.125 0.625 0.000
Te2 0.375 0.375 0.500
Te3 0.625 0.125 0.000
Te4 0.875 0.875 0.500
Rh1 0.250 0.750 0.500
Rh2 0.500 0.500 0.000
```

---

9.
First-principles (GGA-PBE) data for crystalline NdHo8Sc6 at its relaxed geometry, as listed in Alexandria via LeMat-Bulk.

Properties
**DOS(E_F)**: 1.53 states/eV per atom
**Energy**: -76.527 eV per cell
**Size of the total moment**: 0.000 μB/f.u.
**Calculated formation energy**: 0.190 eV/atom

```
data_NdHo8Sc6
_cell_length_a 7.897
_cell_length_b 7.897
_cell_length_c 7.897
_cell_angle_alpha 72.38
_cell_angle_beta 72.38
_cell_angle_gamma 72.38
_symmetry_space_group_name_H-M 'P 1'
_symmetry_Int_Tables_number 1
_symmetry_space_group_name_Hall 'P 1'
loop_
_atom_site_label
_atom_site_fract_x
_atom_site_fract_y
_atom_site_fract_z
Nd1 0.000 0.000 0.000
Ho1 0.069 0.773 0.635
Ho2 0.227 0.365 0.931
Ho3 0.365 0.931 0.227
Ho4 0.410 0.410 0.410
Ho5 0.590 0.590 0.590
Ho6 0.635 0.069 0.773
Ho7 0.773 0.635 0.069
Ho8 0.931 0.227 0.365
Sc1 0.060 0.610 0.290
Sc2 0.290 0.060 0.610
Sc3 0.390 0.710 0.940
Sc4 0.610 0.290 0.060
Sc5 0.710 0.940 0.390
Sc6 0.940 0.390 0.710
```

---

10.
First-principles (GGA-PBE) data for crystalline InFePt2 at its relaxed geometry, as listed in Alexandria via LeMat-Bulk.

Properties
**DOS(E_F)**: 1.05 states/eV per atom
**Energy**: -23.695 eV per cell
**Size of the total moment**: 3.069 μB/f.u.
**Calculated formation energy**: -0.103 eV/atom

```
data_InFePt2
_cell_length_a 4.727
_cell_length_b 2.925
_cell_length_c 4.989
_cell_angle_alpha 90.00
_cell_angle_beta 110.06
_cell_angle_gamma 90.00
_symmetry_space_group_name_H-M 'P 1'
_symmetry_Int_Tables_number 1
_symmetry_space_group_name_Hall 'P 1'
loop_
_atom_site_label
_atom_site_fract_x
_atom_site_fract_y
_atom_site_fract_z
In1 0.000 0.000 0.000
Fe1 0.000 0.500 0.500
Pt1 0.500 0.000 0.500
Pt2 0.500 0.500 0.000
```

---

11.
First-principles (GGA-PBE) data for crystalline HfZn2SbIr at its relaxed geometry, as listed in Alexandria via LeMat-Bulk.

Properties
**DOS(E_F)**: 1.07 states/eV per atom
**Energy**: -18.060 eV per cell
**Size of the total moment**: 0.265 μB/f.u.
**E_form (uncorrected)**: 1.4849 eV per atom

```
data_HfZn2SbIr
_cell_length_a 4.978
_cell_length_b 4.978
_cell_length_c 5.376
_cell_angle_alpha 90.00
_cell_angle_beta 90.00
_cell_angle_gamma 90.00
_symmetry_space_group_name_H-M 'P 1'
_symmetry_Int_Tables_number 1
_symmetry_space_group_name_Hall 'P 1'
loop_
_atom_site_label
_atom_site_fract_x
_atom_site_fract_y
_atom_site_fract_z
Hf1 0.000 0.000 0.000
Zn1 0.000 0.500 0.000
Zn2 0.500 0.000 0.000
Sb1 0.000 0.000 0.500
Ir1 0.500 0.500 0.500
```

---

12.
First-principles (GGA-PBE) data for crystalline Pm2PrSmDy at its relaxed geometry, as listed in Alexandria via LeMat-Bulk.

Properties
**DOS(E_F)**: 1.30 states/eV per atom
**Energy**: -44.519 eV per cell
**Size of the total moment**: 0.000 μB/f.u.
**Calculated formation energy**: 0.269 eV/atom

```
data_Pm2PrSmDy
_cell_length_a 8.389
_cell_length_b 6.656
_cell_length_c 6.288
_cell_angle_alpha 90.00
_cell_angle_beta 93.02
_cell_angle_gamma 90.00
_symmetry_space_group_name_H-M 'P 1'
_symmetry_Int_Tables_number 1
_symmetry_space_group_name_Hall 'P 1'
loop_
_atom_site_label
_atom_site_fract_x
_atom_site_fract_y
_atom_site_fract_z
Pm1 0.191 0.191 0.268
Pm2 0.191 0.809 0.768
Pm3 0.809 0.191 0.232
Pm4 0.809 0.809 0.732
Pr1 0.500 0.500 0.000
Pr2 0.500 0.500 0.500
Sm1 0.500 0.069 0.750
Sm2 0.500 0.931 0.250
Dy1 0.000 0.338 0.750
Dy2 0.000 0.662 0.250
```

---

- Among the records above, which one has the highest energy?
  K2InPdSe